Record 1
A relaxed PaBeCoTc crystal. Source: Alexandria via LeMat-Bulk, functional PBE.

Lattice parameters (Å, degrees): 4.401 4.401 4.401 60.00 60.00 60.00
Fractional coordinates of all 4 atoms:
Pa  0.000  0.000  0.000
Be  0.500  0.500  0.500
Co  0.250  0.250  0.250
Tc  0.750  0.750  0.750

## Properties
Volume (Å³ per atom): 15.1
Total energy (eV/f.u.): -31.020



Record 2
A relaxed Th2PaBe3Co12 crystal. Source: Alexandria via LeMat-Bulk, functional PBE.

Lattice parameters (Å, degrees): 7.379 7.379 7.379 56.80 56.80 56.80
Fractional coordinates of all 18 atoms:
Th  0.105  0.105  0.105
Th  0.895  0.895  0.895
Pa  0.500  0.500  0.500
Be  0.000  0.500  0.500
Be  0.500  0.000  0.500
Be  0.500  0.500  0.000
Co  0.061  0.647  0.647
Co  0.147  0.147  0.618
Co  0.147  0.618  0.147
Co  0.353  0.353  0.939
Co  0.353  0.939  0.353
Co  0.382  0.853  0.853
Co  0.618  0.147  0.147
Co  0.647  0.061  0.647
Co  0.647  0.647  0.061
Co  0.853  0.382  0.853
Co  0.853  0.853  0.382
Co  0.939  0.353  0.353

## Properties
Volume (Å³ per atom): 14.6
Total energy (eV/f.u.): -114.937